Record 1
VASP calculation (PBE-GGA) on crystalline ScAl2Co2 at its relaxed geometry.

Geometry as POSCAR:
```
ScAl2Co2
1.0
3.826 0.000 0.000
0.000 3.826 0.000
1.913 1.913 5.138
Sc Al Co
1 2 2
Direct
0.000 0.000 0.000 Sc
0.750 0.250 0.500 Al
0.250 0.750 0.500 Al
0.605 0.605 0.789 Co
0.395 0.395 0.211 Co
```

Summary:
size of the total moment	0.0000	μB per atom
SG	I4/mmm, No. 139
calculated density	4.8	Mg/m³
relative energy among the computed polymorphs	0.082	eV per atom
D(E_F)	4.32	states/eV/f.u.
total DFT energy (no corrections)	-5.977	eV/atom

Record 2
VASP calculation (PBE-GGA) on crystalline Sr2LiHg7 at its relaxed geometry.

Geometry as POSCAR:
```
Sr2LiHg7
1.0
-1.194 5.192 5.281
-0.702 -2.048 7.183
5.414 1.661 4.920
Hg Sr Li
7 2 1
Direct
0.767 0.233 0.767 Hg
0.233 0.767 0.767 Hg
0.500 0.500 0.500 Hg
0.767 0.233 0.233 Hg
0.767 0.767 0.233 Hg
0.233 0.767 0.233 Hg
0.233 0.233 0.767 Hg
0.750 0.750 0.750 Sr
0.250 0.250 0.250 Sr
0.000 0.000 0.000 Li
```

Summary:
size of the total moment	0.0000	μB per atom
SG	Fm-3m, No. 225
calculated density	8.8	Mg/m³
D(E_F)	4.95	states/eV/f.u.
total DFT energy (no corrections)	-0.948	eV/atom

Record 3
VASP calculation (PBE-GGA) on crystalline Cs2CuSnBr6 at its relaxed geometry.

Geometry as POSCAR:
```
Cs2CuSnBr6
1.0
7.773 0.000 0.000
0.000 7.773 0.000
3.886 3.886 5.554
Br Cs Cu Sn
6 2 1 1
Direct
0.260 0.740 0.000 Br
0.260 0.260 0.000 Br
0.740 0.260 0.000 Br
0.257 0.257 0.486 Br
0.740 0.740 0.000 Br
0.743 0.743 0.514 Br
0.750 0.250 0.500 Cs
0.250 0.750 0.500 Cs
0.500 0.500 0.000 Cu
0.000 0.000 0.000 Sn
```

Summary:
size of the total moment	0.0000	μB per atom
SG	I4/mmm, No. 139
calculated density	4.6	Mg/m³
D(E_F)	1.92	states/eV/f.u.
energy relative to the elements, uncorrected	-1.08	eV/atom
total DFT energy (no corrections)	-3.066	eV/atom

Record 4
VASP calculation (PBE-GGA) on crystalline SrTe3Mo at its relaxed geometry.

Geometry as POSCAR:
```
SrTe3Mo
1.0
-2.475 -4.705 -1.183
2.122 -2.244 4.486
-4.363 1.578 2.853
Te Mo Sr
3 1 1
Direct
0.000 0.500 0.000 Te
0.000 0.000 0.500 Te
0.500 0.000 0.000 Te
0.000 0.000 0.000 Mo
0.500 0.500 0.500 Sr
```

Summary:
size of the total moment	0.4232	μB per atom
SG	Pm-3m, No. 221
calculated density	5.8	Mg/m³
relative energy among the computed polymorphs	0.000	eV per atom
D(E_F)	6.42	states/eV/f.u.
energy relative to the elements, uncorrected	-0.26	eV/atom
total DFT energy (no corrections)	-4.647	eV/atom